DFT (PBE) results for a geometry-optimized CaMoRu2 structure.

Structure (POSCAR):
```
CaMoRu2
1.0
4.1587 0.0000 0.0000
0.0000 2.8884 0.0104
0.0000 1.2549 5.9324
Ru Mo Ca
2 1 1
direct
0.0000 0.9443 0.9509
0.0000 0.5557 0.5491
0.5000 0.7500 0.7500
0.5000 0.2500 0.2500
```

Values from the calculation:
Total DFT energy (no corrections) ... -7.47 eV/atom
Magnetization ... 0.0 Bohr magnetons per cell
Formation enthalpy at 0 K ... 1.5 eV/f.u.
Space group ... No. 10